# Nd2ScPa2Ru5 (PBE-GGA, optimized geometry)
data_Nd2ScPa2Ru5
_chemical_formula_sum 'Nd4 Sc2 Pa4 Ru10'
_space_group_name_H-M_alt 'P 1'
_space_group_IT_number 1
_space_group_name_Hall 'P 1'
_cell_length_a 3.3658
_cell_length_b 11.0647
_cell_length_c 11.0647
_cell_angle_alpha 90.00
_cell_angle_beta 90.00
_cell_angle_gamma 90.00
loop_
_atom_site_label
_atom_site_fract_x
_atom_site_fract_y
_atom_site_fract_z
Nd1 0.0000 0.6631 0.1631
Nd2 0.0000 0.3369 0.8369
Nd3 0.0000 0.1631 0.3369
Nd4 0.0000 0.8369 0.6631
Sc1 0.0000 0.0000 0.0000
Sc2 0.0000 0.5000 0.5000
Pa1 0.0000 0.1502 0.6502
Pa2 0.0000 0.8498 0.3498
Pa3 0.0000 0.6502 0.8498
Pa4 0.0000 0.3498 0.1502
Ru1 0.5000 0.2020 0.0517
Ru2 0.5000 0.7980 0.9483
Ru3 0.5000 0.0517 0.7980
Ru4 0.5000 0.7020 0.4483
Ru5 0.5000 0.9483 0.2020
Ru6 0.5000 0.2980 0.5517
Ru7 0.5000 0.5517 0.7020
Ru8 0.5000 0.4483 0.2980
Ru9 0.5000 0.5000 0.0000
Ru10 0.5000 0.0000 0.5000
# Theoretical density: 10.5 g/cm3
# Final energy: -167.811 eV for the cell shown
# Energy relative to the elements: -257 kJ/mol of formula units
# Crystal system: tetragonal